Here is crystalline Rb2MoCl at its relaxed geometry from Alexandria. Energies are from GGA-PBE.

Lattice parameters (Å, degrees): 6.2454 6.2454 6.2454 60.00 60.00 60.00
Closest atoms and distances in Å follow each position.
Element x y z (fractional)
Mo (0.5000, 0.5000, 0.5000)  8 Rb 3.82
Rb (0.2500, 0.2500, 0.2500)  4 Mo 3.82, 4 Cl 3.82
Rb (0.7500, 0.7500, 0.7500)  4 Mo 3.82, 4 Cl 3.82
Cl (0.0000, 0.0000, 0.0000)  8 Rb 3.82

Values from the calculation:
Formation energy without anion corrections ... 0.467 eV/atom
Magnetization ... 5.00 μB per formula unit
Density ... 2.9 Mg/m³
Distance to the lowest polymorph of the same formula ... 0.15 eV/f.u.

***

Here is crystalline Sm2Zr2S7 at its relaxed geometry from Alexandria. Energies are from GGA-PBE.

Lattice parameters (Å, degrees): 3.8524 8.3383 8.3383 61.22 76.64 76.64
Closest atoms and distances in Å follow each position.
Element x y z (fractional)
Sm (0.7295, 0.8529, 0.6881)  7 S 2.70-3.02
Sm (0.2705, 0.3119, 0.1471)  7 S 2.70-3.02
Zr (0.0000, 0.7843, 0.2157)  8 S 2.60-2.83
Zr (0.5000, 0.3446, 0.6554)  7 S 2.64-2.86
S (0.8208, 0.0549, 0.3035)  1 Zr 2.60, 3 Sm 2.70-2.79
S (0.8737, 0.4204, 0.8322)  2 Zr 2.64
S (0.5000, 0.0076, 0.9924)  3 Zr 2.70-2.86
S (0.6028, 0.5037, 0.2907)  3 Zr 2.64-2.83, 1 S 2.84
S (0.3972, 0.7093, 0.4963)  3 Zr 2.64-2.83, 1 S 2.84
S (0.1792, 0.6965, 0.9451)  1 Zr 2.60, 3 Sm 2.70-2.79
S (0.1263, 0.1678, 0.5796)  2 Zr 2.64

Values from the calculation:
Formation energy without anion corrections ... -1.697 eV/atom
Magnetization ... 0.00 μB per formula unit
Density ... 5.2 Mg/m³

***

Here is crystalline LiMg3 at its relaxed geometry from Alexandria. Energies are from GGA-PBE.

Lattice parameters (Å, degrees): 5.3967 5.3967 3.1796 90.00 90.00 108.13
Closest atoms and distances in Å follow each position.
Element x y z (fractional)
Mg (0.0000, 0.5000, 0.5000)  8 Mg 3.13-3.18, 4 Li 3.13
Mg (0.5000, 0.0000, 0.5000)  4 Li 3.13, 8 Mg 3.13-3.18
Mg (0.5000, 0.5000, 0.0000)  10 Mg 3.13-3.18, 2 Li 3.17
Li (0.0000, 0.0000, 0.0000)  10 Mg 3.13-3.17, 2 Li 3.18

Values from the calculation:
Magnetization ... 0.00 μB per formula unit
Density ... 1.5 Mg/m³
Formation energy from the elements ... -18 meV/atom

***

Here is crystalline Tl2BiPd2 at its relaxed geometry from Alexandria. Energies are from GGA-PBE.

Lattice parameters (Å, degrees): 3.7998 3.7998 9.1300 77.99 77.99 90.00
Closest atoms and distances in Å follow each position.
Element x y z (fractional)
Tl (0.3742, 0.3742, 0.2515)  4 Pd 2.88
Tl (0.6258, 0.6258, 0.7485)  4 Pd 2.88
Bi (0.0000, 0.0000, 0.0000)  8 Tl 3.47, 4 Bi 3.80
Pd (0.7500, 0.2500, 0.5000)  4 Pd 2.69, 4 Tl 2.88
Pd (0.2500, 0.7500, 0.5000)  4 Pd 2.69, 4 Tl 2.88

Values from the calculation:
Magnetization ... 0.00 μB per formula unit
Density ... 10.9 Mg/m³
Distance to the lowest polymorph of the same formula ... 0.82 eV/f.u.
Formation energy from the elements ... 56 meV/atom

***

Here is crystalline Mg2In2Pb5 at its relaxed geometry from Alexandria. Energies are from GGA-PBE.

Lattice parameters (Å, degrees): 4.9660 9.1462 7.4054 65.10 69.84 58.52
Closest atoms and distances in Å follow each position.
Element x y z (fractional)
Mg (0.8863, 0.3316, 0.5626)  7 Pb 3.25-3.62, 3 In 3.25-3.29, 2 Mg 3.48-3.57
Mg (0.1137, 0.6684, 0.4374)  7 Pb 3.25-3.62, 3 In 3.25-3.29, 2 Mg 3.48-3.57
In (0.2242, 0.3429, 0.8646)  3 Mg 3.25-3.29, 8 Pb 3.36-3.62, 1 In 3.51
In (0.7758, 0.6571, 0.1354)  3 Mg 3.25-3.29, 8 Pb 3.36-3.62, 1 In 3.51
Pb (0.3231, 0.0103, 0.3273)  3 Mg 3.38-3.62, 7 Pb 3.38-3.56, 2 In 3.40-3.47
Pb (0.6769, 0.9897, 0.6727)  3 Mg 3.38-3.62, 7 Pb 3.38-3.56, 2 In 3.40-3.47
Pb (0.5374, 0.3438, 0.2344)  3 Mg 3.25-3.38, 4 In 3.36-3.59, 5 Pb 3.43-3.56
Pb (0.4626, 0.6562, 0.7656)  3 Mg 3.25-3.38, 4 In 3.36-3.59, 5 Pb 3.43-3.56
Pb (0.0000, 0.0000, 0.0000)  2 Mg 3.35, 6 Pb 3.38-3.53, 4 In 3.51-3.62

Values from the calculation:
Magnetization ... 0.00 μB per formula unit
Density ... 8.5 Mg/m³
Formation energy from the elements ... 3 meV/atom

***

Here is crystalline Li2AlSn at its relaxed geometry from Alexandria. Energies are from GGA-PBE.

Lattice parameters (Å, degrees): 4.3281 4.1201 4.1201 90.00 90.00 90.00
Closest atoms and distances in Å follow each position.
Element x y z (fractional)
Li (0.0000, 0.0000, 0.5000)  4 Li 2.91, 4 Sn 2.99, 4 Al 2.99
Li (0.0000, 0.5000, 0.0000)  4 Li 2.91, 4 Sn 2.99, 4 Al 2.99
Sn (0.5000, 0.0000, 0.0000)  4 Al 2.91, 8 Li 2.99
Al (0.5000, 0.5000, 0.5000)  4 Sn 2.91, 8 Li 2.99

Values from the calculation:
Magnetization ... 0.00 μB per formula unit
Density ... 3.6 Mg/m³
Formation energy from the elements ... -242 meV/atom